1.
# CsSrCdRu2, optimized geometry, DFT PBE-GGA
data_CsSrCdRu2
_symmetry_space_group_name_H-M 'P 4/m m m'
_symmetry_Int_Tables_number 123
_symmetry_space_group_name_Hall '-P 4 2'
_cell_length_a 5.037
_cell_length_b 5.037
_cell_length_c 6.011
_cell_angle_alpha 90.00
_cell_angle_beta 90.00
_cell_angle_gamma 90.00
loop_
_atom_site_label
_atom_site_fract_x
_atom_site_fract_y
_atom_site_fract_z
_atom_site_occupancy
Cs1 0.000 0.000 0.000 1
Sr1 0.500 0.500 0.500 1
Cd1 0.000 0.000 0.500 1
Ru1 0.000 0.500 0.000 1
# E_tot = -0.0980 Ha/atom
# Total magnetic moment = 0.51 μB per formula unit
# Formation energy from the elements = 167.2 kJ/mol of atoms



2.
# Mg2TlRu, optimized geometry, DFT PBE-GGA
data_Mg2TlRu
_symmetry_space_group_name_H-M 'I -4 2 d'
_symmetry_Int_Tables_number 122
_symmetry_space_group_name_Hall 'I -4 2bw'
_cell_length_a 4.084
_cell_length_b 4.084
_cell_length_c 19.562
_cell_angle_alpha 90.00
_cell_angle_beta 90.00
_cell_angle_gamma 90.00
loop_
_atom_site_label
_atom_site_fract_x
_atom_site_fract_y
_atom_site_fract_z
_atom_site_occupancy
Mg1 0.227 0.250 0.125 1
Tl1 0.000 0.000 0.500 1
Ru1 0.000 0.000 0.000 1
# ΔE to the lowest computed polymorph = 383 meV per atom
# E_tot = -0.1203 Ha/atom
# Total magnetic moment = 0.00 μB per formula unit
# Formation energy from the elements = 42.0 kJ/mol of atoms



3.
# AlW2Au, optimized geometry, DFT PBE-GGA
data_AlW2Au
_symmetry_space_group_name_H-M 'P 1 m 1'
_symmetry_Int_Tables_number 6
_cell_length_a 2.821
_cell_length_b 4.357
_cell_length_c 5.358
_cell_angle_alpha 90.00
_cell_angle_beta 98.59
_cell_angle_gamma 90.00
loop_
_symmetry_equiv_pos_as_xyz
'x,y,z'
'x,-y,z'
loop_
_atom_site_label
_atom_site_fract_x
_atom_site_fract_y
_atom_site_fract_z
_atom_site_occupancy
Al1 0.000 0.000 0.000 1
W1 0.394 0.500 0.760 1
W2 0.608 0.000 0.516 1
Au1 0.035 0.500 0.246 1
# E_tot = -0.2992 Ha/atom
# Total magnetic moment = 0.00 μB per formula unit
# Formation energy from the elements = 8.7 kJ/mol of atoms